# 1
The following is a PBE calculation of Dy6Ho12Tm after structural relaxation, from Alexandria via LeMat-Bulk.

abc: 8.452 8.452 8.452
angles: 88.32 88.32 88.32
Atoms (fractional coordinates):
Dy: 0.743 0.908 0.310
Dy: 0.690 0.257 0.092
Dy: 0.092 0.690 0.257
Dy: 0.257 0.092 0.690
Dy: 0.310 0.743 0.908
Dy: 0.908 0.310 0.743
Ho: 0.774 0.543 0.436
Ho: 0.436 0.774 0.543
Ho: 0.543 0.436 0.774
Ho: 0.226 0.457 0.564
Ho: 0.564 0.226 0.457
Ho: 0.457 0.564 0.226
Ho: 0.011 0.207 0.356
Ho: 0.793 0.644 0.989
Ho: 0.644 0.989 0.793
Ho: 0.989 0.793 0.644
Ho: 0.207 0.356 0.011
Ho: 0.356 0.011 0.207
Tm: 0.000 0.000 0.000

Magnetization = 0.0002 μB/atom
Relative energy among the computed polymorphs = 0 meV per atom
Formation energy = 15 kJ per mole of atoms

=====

# 2
The following is a PBE calculation of CaPr4Ge4 after structural relaxation, from Alexandria via LeMat-Bulk.

abc: 6.183 9.256 9.256
angles: 90.00 90.00 90.00
Atoms (fractional coordinates):
Ca: 0.000 0.000 0.000
Ca: 0.500 0.500 0.500
Pr: 0.367 0.318 0.910
Pr: 0.867 0.590 0.818
Pr: 0.367 0.682 0.090
Pr: 0.133 0.182 0.590
Pr: 0.633 0.910 0.682
Pr: 0.133 0.818 0.410
Pr: 0.867 0.410 0.182
Pr: 0.633 0.090 0.318
Ge: 0.642 0.766 0.370
Ge: 0.642 0.234 0.630
Ge: 0.142 0.870 0.734
Ge: 0.858 0.266 0.870
Ge: 0.858 0.734 0.130
Ge: 0.358 0.370 0.234
Ge: 0.358 0.630 0.766
Ge: 0.142 0.130 0.266

Magnetization = 0.0000 μB/atom
Formation energy = -55 kJ per mole of atoms